No. 1
PuZnRu: optimized geometry, PBE-GGA.

Values from the calculation:
V ... 18.8 Å³/atom
Density of states at the Fermi level ... 7.05 states/eV per cell
Energy of formation from the pure elements ... -0.043 eV per atom
Spin magnetization ... 4.7 Bohr magnetons per cell

a = 4.4443 Å, b = 4.4443 Å, c = 3.2974 Å
α = 90.00°, β = 90.00°, γ = 120.00°
Space group P-6m2 (No. 187)
Symmetry-distinct sites (fractional):
1 Pu 0.0000 0.0000 0.0000 x1
2 Zn 0.3333 0.6667 0.5000 x1
3 Ru 0.6667 0.3333 0.5000 x1


No. 2
Pu2Zn15Ru2: optimized geometry, PBE-GGA.

Values from the calculation:
V ... 16.0 Å³/atom
Density of states at the Fermi level ... 77.95 states/eV per cell
Energy of formation from the pure elements ... -0.117 eV per atom
Spin magnetization ... 31.1 Bohr magnetons per cell

a = 9.0814 Å, b = 9.0814 Å, c = 12.7764 Å
α = 90.00°, β = 90.00°, γ = 120.00°
Space group R-3m (No. 166, hexagonal axes)
Symmetry-distinct sites (fractional):
1 Pu 0.0000 0.0000 0.1711 x6
2 Zn 0.0000 0.2824 0.5000 x18
3 Zn 0.0000 0.5000 0.0000 x9
4 Zn 0.0034 0.5017 0.6477 x18
5 Ru 0.0000 0.0000 0.3890 x6


No. 3
PuZn2Ru2: optimized geometry, PBE-GGA.

Values from the calculation:
V ... 16.4 Å³/atom
Density of states at the Fermi level ... 8.23 states/eV per cell
Energy of formation from the pure elements ... -0.114 eV per atom
Spin magnetization ... 7.1 Bohr magnetons per cell

a = 8.358 Å, b = 4.264 Å, c = 5.789 Å
α = 90.00°, β = 127.55°, γ = 90.00°
Space group C2/m (No. 12)
Symmetry-distinct sites (fractional):
1 Pu 0.000 0.000 0.000 x2
2 Zn 0.185 0.000 0.632 x4
3 Ru 0.053 0.500 0.778 x4


No. 4
PuZnRu: optimized geometry, PBE-GGA.

Values from the calculation:
V ... 18.1 Å³/atom
Density of states at the Fermi level ... 22.68 states/eV per cell
Energy of formation from the pure elements ... -0.107 eV per atom
Spin magnetization ... 18.4 Bohr magnetons per cell

a = 9.928 Å, b = 4.608 Å, c = 5.285 Å
α = 90.00°, β = 116.08°, γ = 90.00°
Space group C2/m (No. 12)
Symmetry-distinct sites (fractional):
1 Pu 0.180 0.000 0.096 x4
2 Zn 0.038 0.500 0.292 x4
3 Ru 0.154 0.000 0.560 x4


No. 5
Pu2Zn6Ru: optimized geometry, PBE-GGA.

Values from the calculation:
V ... 17.7 Å³/atom
Density of states at the Fermi level ... 35.28 states/eV per cell
Energy of formation from the pure elements ... -0.124 eV per atom
Spin magnetization ... 21.0 Bohr magnetons per cell

a = 8.707 Å, b = 5.668 Å, c = 6.511 Å
α = 90.00°, β = 96.36°, γ = 90.00°
Space group C2/m (No. 12)
Symmetry-distinct sites (fractional):
1 Pu 0.168 0.000 0.411 x4
2 Zn 0.105 0.233 0.851 x8
3 Zn 0.142 0.500 0.171 x4
4 Ru 0.000 0.500 0.500 x2


No. 6
Pu2Zn2Ru3: optimized geometry, PBE-GGA.

Values from the calculation:
V ... 18.2 Å³/atom
Density of states at the Fermi level ... 31.95 states/eV per cell
Energy of formation from the pure elements ... -0.115 eV per atom
Spin magnetization ... 16.6 Bohr magnetons per cell

a = 9.062 Å, b = 4.599 Å, c = 6.818 Å
α = 90.00°, β = 116.14°, γ = 90.00°
Space group C2/m (No. 12)
Symmetry-distinct sites (fractional):
1 Pu 0.162 0.000 0.288 x4
2 Zn 0.109 0.500 0.928 x4
3 Ru 0.000 0.500 0.500 x2
4 Ru 0.113 0.000 0.722 x4